First-principles (PBE with a Hubbard U) data for AcNbVO6 after structural relaxation, as listed in Alexandria via LeMat-Bulk.

Summary:
* ρ: 6.0 g/cm³
* DOS at the Fermi energy: 0.00 states/eV per atom
* raw total energy: -75.77 eV for the cell shown
* SG: P1 (1)

Unit cell a=5.220 b=5.307 c=5.377 alpha=89.44 beta=88.79 gamma=60.57
Sites, in units of the cell vectors:
Ac 0.000 0.000 0.000
Nb 0.662 0.676 0.499
V 0.335 0.329 0.501
O 0.005 0.622 0.290
O 0.011 0.374 0.702
O 0.374 0.622 0.711
O 0.377 0.004 0.291
O 0.616 0.374 0.299
O 0.619 0.004 0.710